Below is crystalline UAlVO6 at its relaxed geometry, with properties calculated at the PBE+U level.

Unit cell a=5.1828 b=5.1828 c=8.8431 alpha=90.00 beta=90.00 gamma=120.00
Last column: nearest neighbours and their distance in Å.
Atoms (fractional coordinates):
U 0.3333 0.6667 0.2500  6 O 2.09
U 0.6667 0.3333 0.7500  6 O 2.09
Al 0.3333 0.6667 0.7500  6 O 1.94
Al 0.6667 0.3333 0.2500  6 O 1.94
V 0.0000 0.0000 0.0000  6 O 2.10
V 0.0000 0.0000 0.5000  6 O 2.10
O 0.0237 0.3479 0.6315  1 Al 1.94, 1 U 2.09, 1 V 2.10
O 0.0237 0.6758 0.8685  1 Al 1.94, 1 U 2.09, 1 V 2.10
O 0.3242 0.3479 0.8685  1 Al 1.94, 1 U 2.09, 1 V 2.10
O 0.3242 0.9763 0.6315  1 Al 1.94, 1 U 2.09, 1 V 2.10
O 0.3479 0.0237 0.1315  1 Al 1.94, 1 U 2.09, 1 V 2.10
O 0.3479 0.3242 0.3685  1 Al 1.94, 1 U 2.09, 1 V 2.10
O 0.6521 0.6758 0.6315  1 Al 1.94, 1 U 2.09, 1 V 2.10
O 0.6521 0.9763 0.8685  1 Al 1.94, 1 U 2.09, 1 V 2.10
O 0.6758 0.0237 0.3685  1 Al 1.94, 1 U 2.09, 1 V 2.10
O 0.6758 0.6521 0.1315  1 Al 1.94, 1 U 2.09, 1 V 2.10
O 0.9763 0.3242 0.1315  1 Al 1.94, 1 U 2.09, 1 V 2.10
O 0.9763 0.6521 0.3685  1 Al 1.94, 1 U 2.09, 1 V 2.10

Summary:
Its volume is 205.7 Å³ per cell. As for the size of the total moment: 1.999 μB/f.u. The value obtained for the total energy is -152.388 eV for the cell shown.